Compound: NpFePtO6
Source: Alexandria via LeMat-Bulk
Functional: GGA+U
Structure: relaxed

For the calculated total energy, the calculation gives -137.30 eV per cell.

The space group is P-31c (No. 163) and the conventional cell measures 5.2991, 5.2991 and 8.8604 Å, with angles of 90.00, 90.00 and 120.00 degrees. The asymmetric unit holds Np at (0.3333, 0.6667, 0.2500), Fe at (0.3333, 0.6667, 0.7500), Pt at (0.0000, 0.0000, 0.0000) and O at (0.0068, 0.3364, 0.6272).